First-principles (GGA-PBE) data for an optimized crystal structure of As2AuBr, as listed in the Alexandria database.

Output
DFT total energy ... -13.940 eV per formula unit
Offset from the most stable computed form ... 110 meV/atom
ρ ... 7.6 Mg/m³
Space-group type ... R3m (160)
ΔE_f (raw) ... 1.785 kcal/mol of atoms

CIF file:
```
data_As2AuBr
_symmetry_space_group_name_H-M 'P 1'
_symmetry_Int_Tables_number 1
_symmetry_space_group_name_Hall 'P 1'
_cell_length_a 3.7948
_cell_length_b 3.7948
_cell_length_c 22.5108
_cell_angle_alpha 90.00
_cell_angle_beta 90.00
_cell_angle_gamma 120.00
loop_
_atom_site_label
_atom_site_type_symbol
_atom_site_fract_x
_atom_site_fract_y
_atom_site_fract_z
As1 As 0.0000 0.0000 0.0000
As2 As 0.0000 0.0000 0.2705
As3 As 0.3333 0.6667 0.6667
As4 As 0.3333 0.6667 0.9372
As5 As 0.6667 0.3333 0.3333
As6 As 0.6667 0.3333 0.6038
Au1 Au 0.0000 0.0000 0.7432
Au2 Au 0.3333 0.6667 0.4098
Au3 Au 0.6667 0.3333 0.0765
Br1 Br 0.0000 0.0000 0.4878
Br2 Br 0.3333 0.6667 0.1545
Br3 Br 0.6667 0.3333 0.8211
```

---

First-principles (GGA-PBE) data for an optimized crystal structure of As2AuBr, as listed in the Alexandria database.

Output
DFT total energy ... -12.745 eV per formula unit
Offset from the most stable computed form ... 409 meV/atom
ρ ... 8.0 Mg/m³
Space-group type ... Immm (71)
ΔE_f (raw) ... 8.671 kcal/mol of atoms

CIF file:
```
data_As2AuBr
_symmetry_space_group_name_H-M 'P 1'
_symmetry_Int_Tables_number 1
_symmetry_space_group_name_Hall 'P 1'
_cell_length_a 3.4022
_cell_length_b 5.8113
_cell_length_c 8.9973
_cell_angle_alpha 90.00
_cell_angle_beta 90.00
_cell_angle_gamma 90.00
loop_
_atom_site_label
_atom_site_type_symbol
_atom_site_fract_x
_atom_site_fract_y
_atom_site_fract_z
As1 As 0.0000 0.0000 0.2200
As2 As 0.0000 0.0000 0.7800
As3 As 0.5000 0.5000 0.2800
As4 As 0.5000 0.5000 0.7200
Au1 Au 0.0000 0.5000 0.5000
Au2 Au 0.5000 0.0000 0.0000
Br1 Br 0.0000 0.5000 0.0000
Br2 Br 0.5000 0.0000 0.5000
```

---

First-principles (GGA-PBE) data for an optimized crystal structure of As2AuBr, as listed in the Alexandria database.

Output
DFT total energy ... -12.042 eV per formula unit
Offset from the most stable computed form ... 585 meV/atom
ρ ... 8.7 Mg/m³
Space-group type ... Fm-3m (225)
ΔE_f (raw) ... 12.724 kcal/mol of atoms

CIF file:
```
data_As2AuBr
_symmetry_space_group_name_H-M 'P 1'
_symmetry_Int_Tables_number 1
_symmetry_space_group_name_Hall 'P 1'
_cell_length_a 6.8753
_cell_length_b 6.8753
_cell_length_c 6.8753
_cell_angle_alpha 90.00
_cell_angle_beta 90.00
_cell_angle_gamma 90.00
loop_
_atom_site_label
_atom_site_type_symbol
_atom_site_fract_x
_atom_site_fract_y
_atom_site_fract_z
As1 As 0.2500 0.2500 0.2500
As2 As 0.2500 0.2500 0.7500
As3 As 0.2500 0.7500 0.2500
As4 As 0.2500 0.7500 0.7500
As5 As 0.7500 0.2500 0.2500
As6 As 0.7500 0.2500 0.7500
As7 As 0.7500 0.7500 0.2500
As8 As 0.7500 0.7500 0.7500
Au1 Au 0.0000 0.0000 0.0000
Au2 Au 0.0000 0.5000 0.5000
Au3 Au 0.5000 0.0000 0.5000
Au4 Au 0.5000 0.5000 0.0000
Br1 Br 0.0000 0.0000 0.5000
Br2 Br 0.0000 0.5000 0.0000
Br3 Br 0.5000 0.0000 0.0000
Br4 Br 0.5000 0.5000 0.5000
```

---

First-principles (GGA-PBE) data for an optimized crystal structure of AsAuBr, as listed in the Alexandria database.

Output
DFT total energy ... -9.683 eV per formula unit
Offset from the most stable computed form ... 101 meV/atom
ρ ... 7.0 Mg/m³
Space-group type ... I4mm (107)
ΔE_f (raw) ... -0.638 kcal/mol of atoms

CIF file:
```
data_AsAuBr
_symmetry_space_group_name_H-M 'P 1'
_symmetry_Int_Tables_number 1
_symmetry_space_group_name_Hall 'P 1'
_cell_length_a 3.7680
_cell_length_b 3.7680
_cell_length_c 11.6801
_cell_angle_alpha 90.00
_cell_angle_beta 90.00
_cell_angle_gamma 90.00
loop_
_atom_site_label
_atom_site_type_symbol
_atom_site_fract_x
_atom_site_fract_y
_atom_site_fract_z
As1 As 0.0000 0.0000 0.0000
As2 As 0.5000 0.5000 0.5000
Au1 Au 0.0000 0.0000 0.5208
Au2 Au 0.5000 0.5000 0.0208
Br1 Br 0.0000 0.0000 0.7945
Br2 Br 0.5000 0.5000 0.2945
```

---

First-principles (GGA-PBE) data for an optimized crystal structure of AsAuBr3, as listed in the Alexandria database.

Output
DFT total energy ... -10.659 eV per formula unit
Offset from the most stable computed form ... 200 meV/atom
ρ ... 5.7 Mg/m³
Space-group type ... Pm-3m (221)
ΔE_f (raw) ... 10.548 kcal/mol of atoms

CIF file:
```
data_AsAuBr3
_symmetry_space_group_name_H-M 'P 1'
_symmetry_Int_Tables_number 1
_symmetry_space_group_name_Hall 'P 1'
_cell_length_a 5.3109
_cell_length_b 5.3109
_cell_length_c 5.3109
_cell_angle_alpha 90.00
_cell_angle_beta 90.00
_cell_angle_gamma 90.00
loop_
_atom_site_label
_atom_site_type_symbol
_atom_site_fract_x
_atom_site_fract_y
_atom_site_fract_z
As1 As 0.0000 0.0000 0.0000
Au1 Au 0.5000 0.5000 0.5000
Br1 Br 0.0000 0.5000 0.5000
Br2 Br 0.5000 0.0000 0.5000
Br3 Br 0.5000 0.5000 0.0000
```

---

First-principles (GGA-PBE) data for an optimized crystal structure of AsAu2Br, as listed in the Alexandria database.

Output
DFT total energy ... -12.383 eV per formula unit
Offset from the most stable computed form ... 88 meV/atom
ρ ... 9.9 Mg/m³
Space-group type ... P4mm (99)
ΔE_f (raw) ... 2.849 kcal/mol of atoms

CIF file:
```
data_AsAu2Br
_symmetry_space_group_name_H-M 'P 1'
_symmetry_Int_Tables_number 1
_symmetry_space_group_name_Hall 'P 1'
_cell_length_a 3.5501
_cell_length_b 3.5501
_cell_length_c 7.2691
_cell_angle_alpha 90.00
_cell_angle_beta 90.00
_cell_angle_gamma 90.00
loop_
_atom_site_label
_atom_site_type_symbol
_atom_site_fract_x
_atom_site_fract_y
_atom_site_fract_z
As1 As 0.0000 0.0000 0.0000
Au1 Au 0.0000 0.0000 0.3547
Au2 Au 0.5000 0.5000 0.1361
Br1 Br 0.5000 0.5000 0.5949
```

---

Among the records above, which one has the highest ΔE_f (raw)? number 3